BN2Cl | PBE | relaxed

```
BN2Cl
1.0
1.897 1.095 4.654
-1.897 1.095 4.654
0.000 -2.190 4.654
B N Cl
1 2 1
direct
0.000 0.000 0.000 B
0.096 0.096 0.096 N
0.904 0.904 0.904 N
0.500 0.500 0.500 Cl
```

Properties
The energy above the most stable polymorph in this dataset comes out at 952 meV/atom. The calculated volume is 58.0 Å³/cell. The total energy comes out at -4.859 eV/atom.